No. 1
This record from Alexandria via LeMat-Bulk describes crystalline Ac2LaNd4Dy at its relaxed geometry. The functional is GGA-PBE.

Lattice parameters (Å, degrees): 6.5065 3.7742 12.3884 90.00 100.44 90.00
With the nearest neighbours (Å) after each atom.
Element x y z (fractional)
Ac 0.0000 0.0000 0.0000  6 Ac 3.76-3.77, 6 Nd 3.81-3.82
Ac 0.5000 0.5000 0.0000  6 Ac 3.76-3.77, 6 Nd 3.80-3.82
La 0.0000 0.5000 0.5000  6 Nd 3.68, 4 Dy 3.76, 2 La 3.77
Nd 0.2488 0.0000 0.7439  2 La 3.68, 1 Dy 3.69, 6 Nd 3.75-3.77, 3 Ac 3.80-3.81
Nd 0.2537 0.5000 0.2578  2 Dy 3.66, 1 La 3.68, 6 Nd 3.75-3.77, 3 Ac 3.82
Nd 0.7462 0.5000 0.7422  2 Dy 3.66, 1 La 3.68, 6 Nd 3.75-3.77, 3 Ac 3.82
Nd 0.7512 0.0000 0.2561  2 La 3.68, 1 Dy 3.69, 6 Nd 3.75-3.77, 3 Ac 3.80-3.81
Dy 0.5000 0.0000 0.5000  6 Nd 3.66-3.69, 4 La 3.76, 2 Dy 3.77

Values from the calculation:
* space-group type: No. 10
* crystal system: monoclinic
* total moment: 0.000 μB/f.u.
* ΔH_f (0 K): 0.0381 eV/atom

=====

No. 2
This record from Alexandria via LeMat-Bulk describes crystalline Li2InCl at its relaxed geometry. The functional is GGA-PBE.

Lattice parameters (Å, degrees): 6.8529 6.8529 7.7481 90.00 90.00 90.00
With the nearest neighbours (Å) after each atom.
Element x y z (fractional)
Li 0.1794 0.2500 0.1250  2 Cl 2.32
Li 0.2500 0.6794 0.3750  2 Cl 2.32
Li 0.2500 0.8206 0.8750  2 Cl 2.32
Li 0.3206 0.2500 0.6250  2 Cl 2.32
Li 0.6794 0.7500 0.6250  2 Cl 2.32
Li 0.7500 0.1794 0.8750  2 Cl 2.32
Li 0.7500 0.3206 0.3750  2 Cl 2.32
Li 0.8206 0.7500 0.1250  2 Cl 2.32
In 0.0000 0.0000 0.5000  4 Li 2.95
In 0.0000 0.5000 0.7500  4 Li 2.95
In 0.5000 0.0000 0.2500  4 Li 2.95
In 0.5000 0.5000 0.0000  4 Li 2.95
Cl 0.0000 0.0000 0.0000  4 Li 2.32
Cl 0.0000 0.5000 0.2500  4 Li 2.32
Cl 0.5000 0.0000 0.7500  4 Li 2.32
Cl 0.5000 0.5000 0.5000  4 Li 2.32

Values from the calculation:
* E_form (uncorrected): -0.734 eV/atom
* space-group type: No. 122
* crystal system: tetragonal
* total moment: 0.000 μB/f.u.

=====

No. 3
This record from Alexandria via LeMat-Bulk describes crystalline K3LaPm2Se6 at its relaxed geometry. The functional is GGA-PBE.

Lattice parameters (Å, degrees): 7.5532 7.5532 8.0983 98.94 98.94 120.00
With the nearest neighbours (Å) after each atom.
Element x y z (fractional)
K 0.0000 0.0000 0.0000  6 Se 3.33-3.38
K 0.3336 0.6664 0.0000  6 Se 3.34-3.38
K 0.6664 0.3336 0.0000  6 Se 3.34-3.38
La 0.5000 0.5000 0.5000  6 Se 3.03
Pm 0.1667 0.8333 0.5000  6 Se 2.98
Pm 0.8333 0.1667 0.5000  6 Se 2.98
Se 0.0914 0.4299 0.2897  2 Pm 2.98, 1 La 3.03
Se 0.2316 0.2316 0.7105  2 Pm 2.98, 1 La 3.03, 1 K 3.33
Se 0.4299 0.0914 0.2897  2 Pm 2.98, 1 La 3.03
Se 0.5701 0.9086 0.7103  2 Pm 2.98, 1 La 3.03
Se 0.7684 0.7684 0.2895  2 Pm 2.98, 1 La 3.03, 1 K 3.33
Se 0.9086 0.5701 0.7103  2 Pm 2.98, 1 La 3.03

Values from the calculation:
* E_form (uncorrected): -1.783 eV/atom
* space-group type: No. 12
* crystal system: monoclinic
* total moment: 0.000 μB/f.u.

=====

No. 4
This record from Alexandria via LeMat-Bulk describes crystalline HoBe2Co2 at its relaxed geometry. The functional is GGA-PBE.

Lattice parameters (Å, degrees): 3.9331 3.9331 8.3659 90.00 90.00 90.00
With the nearest neighbours (Å) after each atom.
Element x y z (fractional)
Ho 0.0000 0.0000 0.0000  8 Co 2.87, 10 Be 2.96-3.04
Ho 0.5000 0.5000 0.5000  8 Co 2.87, 10 Be 2.96-3.04
Be 0.0000 0.0000 0.3538  4 Co 2.15
Be 0.0000 0.0000 0.6462  4 Co 2.15
Be 0.5000 0.5000 0.1462  4 Co 2.15
Be 0.5000 0.5000 0.8538  4 Co 2.15
Co 0.0000 0.5000 0.2500  4 Be 2.15
Co 0.0000 0.5000 0.7500  4 Be 2.15
Co 0.5000 0.0000 0.2500  4 Be 2.15
Co 0.5000 0.0000 0.7500  4 Be 2.15

Values from the calculation:
* space-group type: No. 139
* crystal system: tetragonal
* total moment: 0.000 μB/f.u.
* ΔH_f (0 K): -0.2352 eV/atom

=====

No. 5
This record from Alexandria via LeMat-Bulk describes crystalline ScOs2Cl at its relaxed geometry. The functional is GGA-PBE.

Lattice parameters (Å, degrees): 2.9267 2.9267 9.4487 90.00 90.00 90.00
With the nearest neighbours (Å) after each atom.
Element x y z (fractional)
Sc 0.0000 0.0000 0.0000  4 Cl 2.65, 4 Sc 2.93, 4 Os 2.94
Os 0.0000 0.0000 0.6156  4 Os 2.58
Os 0.5000 0.5000 0.7792  4 Os 2.58
Cl 0.5000 0.5000 0.1759  4 Sc 2.65, 4 Cl 2.93

Values from the calculation:
* E_form (uncorrected): -0.114 eV/atom
* space-group type: No. 99
* crystal system: tetragonal
* total moment: 0.076 μB/f.u.

=====

No. 6
This record from Alexandria via LeMat-Bulk describes crystalline LiAcNd2Hg4 at its relaxed geometry. The functional is GGA-PBE.

Lattice parameters (Å, degrees): 9.6880 9.6880 9.6880 31.78 31.78 31.78
With the nearest neighbours (Å) after each atom.
Element x y z (fractional)
Li 0.0000 0.0000 0.0000  8 Hg 3.13-3.25
Ac 0.5000 0.5000 0.5000  8 Hg 3.40-3.52
Nd 0.2589 0.2589 0.2589  7 Hg 3.13-3.25
Nd 0.7411 0.7411 0.7411  7 Hg 3.13-3.25
Hg 0.1134 0.1134 0.1134  1 Li 3.13, 3 Nd 3.25, 3 Ac 3.40
Hg 0.3722 0.3722 0.3722  4 Nd 3.13-3.22, 3 Li 3.25
Hg 0.6278 0.6278 0.6278  4 Nd 3.13-3.22, 3 Li 3.25
Hg 0.8866 0.8866 0.8866  1 Li 3.13, 3 Nd 3.25, 3 Ac 3.40

Values from the calculation:
* space-group type: No. 166
* crystal system: trigonal
* total moment: 0.000 μB/f.u.
* ΔH_f (0 K): -0.4304 eV/atom

=====

No. 7
This record from Alexandria via LeMat-Bulk describes crystalline K2ZnSn3Pt4 at its relaxed geometry. The functional is GGA-PBE.

Lattice parameters (Å, degrees): 4.6833 4.6833 10.6573 90.00 90.00 90.00
With the nearest neighbours (Å) after each atom.
Element x y z (fractional)
K 0.0000 0.5000 0.2504  6 Sn 3.54-3.57, 2 Zn 3.54, 9 Pt 3.55-3.95
K 0.5000 0.0000 0.7496  6 Sn 3.54-3.57, 2 Zn 3.54, 9 Pt 3.55-3.95
Zn 0.0000 0.0000 0.5000  4 Pt 2.68
Sn 0.0000 0.5000 0.8744  5 Pt 2.70
Sn 0.5000 0.0000 0.1256  5 Pt 2.70
Sn 0.5000 0.5000 0.5000  4 Pt 2.68
Pt 0.0000 0.0000 0.0000  4 Sn 2.70
Pt 0.0000 0.5000 0.6214  3 Sn 2.68-2.70, 2 Zn 2.68
Pt 0.5000 0.0000 0.3786  3 Sn 2.68-2.70, 2 Zn 2.68
Pt 0.5000 0.5000 0.0000  4 Sn 2.70

Values from the calculation:
* space-group type: No. 115
* crystal system: tetragonal
* total moment: 0.000 μB/f.u.
* ΔH_f (0 K): -0.4548 eV/atom

=====

No. 8
This record from Alexandria via LeMat-Bulk describes crystalline Ce2SbP3Ir4 at its relaxed geometry. The functional is GGA-PBE.

Lattice parameters (Å, degrees): 4.0916 4.0916 10.6447 90.00 90.00 90.00
With the nearest neighbours (Å) after each atom.
Element x y z (fractional)
Ce 0.0000 0.5000 0.2340  4 P 3.10, 8 Ir 3.13-3.22
Ce 0.5000 0.0000 0.7660  4 P 3.10, 8 Ir 3.13-3.22
Sb 0.0000 0.0000 0.5000  4 Ir 2.63, 4 P 2.89
P 0.0000 0.5000 0.8704  5 Ir 2.29-2.47
P 0.5000 0.0000 0.1296  5 Ir 2.29-2.47
P 0.5000 0.5000 0.5000  4 Ir 2.63, 4 Sb 2.89
Ir 0.0000 0.0000 0.0000  4 P 2.47
Ir 0.0000 0.5000 0.6549  1 P 2.29
Ir 0.5000 0.0000 0.3451  1 P 2.29
Ir 0.5000 0.5000 0.0000  4 P 2.47

Values from the calculation:
* E_form (uncorrected): -0.819 eV/atom
* space-group type: No. 115
* crystal system: tetragonal
* total moment: 0.472 μB/f.u.

=====

No. 9
This record from Alexandria via LeMat-Bulk describes crystalline ZnMoBr at its relaxed geometry. The functional is GGA-PBE.

Lattice parameters (Å, degrees): 3.2553 6.2980 6.9244 82.22 76.70 89.85
With the nearest neighbours (Å) after each atom.
Element x y z (fractional)
Zn 0.0000 0.0000 0.0000  2 Zn 2.63-2.64, 3 Mo 2.80-2.89, 1 Br 2.87
Zn 0.3465 0.9637 0.3106  2 Zn 2.63-2.64, 3 Mo 2.83-2.92
Mo 0.1511 0.7194 0.7127  2 Mo 2.40, 2 Br 2.48-2.57
Mo 0.6798 0.0007 0.6475  2 Mo 2.40
Br 0.2446 0.3873 0.5301  1 Mo 2.57
Br 0.9803 0.5395 0.0644  1 Mo 2.48

Values from the calculation:
* E_form (uncorrected): 0.132 eV/atom
* space-group type: No. 1
* crystal system: triclinic
* total moment: 0.000 μB/f.u.

=====

No. 10
This record from Alexandria via LeMat-Bulk describes crystalline Li3AcRh at its relaxed geometry. The functional is GGA-PBE.

Lattice parameters (Å, degrees): 4.7435 4.7050 10.6921 90.00 90.00 90.00
With the nearest neighbours (Å) after each atom.
Element x y z (fractional)
Li 0.0000 0.0000 0.0000  2 Rh 2.64, 1 Li 2.65
Li 0.0000 0.0000 0.2482  1 Li 2.65, 2 Rh 2.80
Li 0.0000 0.5000 0.5000  2 Rh 2.64, 1 Li 2.65
Li 0.0000 0.5000 0.7482  1 Li 2.65, 2 Rh 2.80
Li 0.5000 0.0000 0.4663  2 Rh 2.80, 1 Ac 3.05
Li 0.5000 0.5000 0.9663  2 Rh 2.80, 1 Ac 3.05
Ac 0.5000 0.0000 0.7513  2 Rh 2.81, 1 Li 3.05
Ac 0.5000 0.5000 0.2513  2 Rh 2.81, 1 Li 3.05
Rh 0.5000 0.0000 0.1081  6 Li 2.64-2.80, 2 Ac 2.81
Rh 0.5000 0.5000 0.6081  6 Li 2.64-2.80, 2 Ac 2.81

Values from the calculation:
* space-group type: No. 38
* crystal system: orthorhombic
* total moment: 0.000 μB/f.u.
* ΔH_f (0 K): -0.0560 eV/atom

=====

No. 11
This record from Alexandria via LeMat-Bulk describes crystalline LaAgTe2 at its relaxed geometry. The functional is GGA-PBE.

Lattice parameters (Å, degrees): 4.8888 6.2618 7.8151 90.00 90.00 90.00
With the nearest neighbours (Å) after each atom.
Element x y z (fractional)
La 0.0000 0.0000 0.0000  4 Te 3.16
La 0.5000 0.5000 0.0000  4 Te 3.16
Ag 0.0000 0.0000 0.5000  4 Te 3.09
Ag 0.5000 0.5000 0.5000  4 Te 3.09
Te 0.0000 0.5000 0.2571  2 Ag 3.09, 2 La 3.16
Te 0.0000 0.5000 0.7429  2 Ag 3.09, 2 La 3.16
Te 0.5000 0.0000 0.2571  2 Ag 3.09, 2 La 3.16
Te 0.5000 0.0000 0.7429  2 Ag 3.09, 2 La 3.16

Values from the calculation:
* E_form (uncorrected): -0.736 eV/atom
* space-group type: No. 65
* crystal system: orthorhombic
* total moment: 0.000 μB/f.u.

=====

No. 12
This record from Alexandria via LeMat-Bulk describes crystalline K2ZnBiH at its relaxed geometry. The functional is GGA-PBE.

Lattice parameters (Å, degrees): 7.1581 4.6000 10.0917 90.00 109.58 90.00
With the nearest neighbours (Å) after each atom.
Element x y z (fractional)
K 0.2077 0.2500 0.4072  2 H 3.41, 3 Zn 3.65-3.70, 4 Bi 3.70-3.79
K 0.2191 0.2500 0.9588  3 H 2.76-3.08
K 0.7809 0.7500 0.0412  3 H 2.76-3.08
K 0.7923 0.7500 0.5928  2 H 3.41, 3 Zn 3.65-3.70, 4 Bi 3.70-3.79
Zn 0.4395 0.7500 0.2284  1 H 1.69
Zn 0.5605 0.2500 0.7716  1 H 1.69
Bi 0.3426 0.7500 0.7114  2 Zn 2.73
Bi 0.6574 0.2500 0.2886  2 Zn 2.73
H 0.1900 0.7500 0.1537  1 Zn 1.69
H 0.8100 0.2500 0.8463  1 Zn 1.69

Values from the calculation:
* space-group type: No. 11
* crystal system: monoclinic
* total moment: 0.000 μB/f.u.
* raw total energy: -12.12 eV per formula unit

=====

What did the third record say?
This record from Alexandria via LeMat-Bulk describes crystalline K3LaPm2Se6 at its relaxed geometry. The functional is GGA-PBE.

Lattice parameters (Å, degrees): 7.5532 7.5532 8.0983 98.94 98.94 120.00
With the nearest neighbours (Å) after each atom.
Element x y z (fractional)
K 0.0000 0.0000 0.0000  6 Se 3.33-3.38
K 0.3336 0.6664 0.0000  6 Se 3.34-3.38
K 0.6664 0.3336 0.0000  6 Se 3.34-3.38
La 0.5000 0.5000 0.5000  6 Se 3.03
Pm 0.1667 0.8333 0.5000  6 Se 2.98
Pm 0.8333 0.1667 0.5000  6 Se 2.98
Se 0.0914 0.4299 0.2897  2 Pm 2.98, 1 La 3.03
Se 0.2316 0.2316 0.7105  2 Pm 2.98, 1 La 3.03, 1 K 3.33
Se 0.4299 0.0914 0.2897  2 Pm 2.98, 1 La 3.03
Se 0.5701 0.9086 0.7103  2 Pm 2.98, 1 La 3.03
Se 0.7684 0.7684 0.2895  2 Pm 2.98, 1 La 3.03, 1 K 3.33
Se 0.9086 0.5701 0.7103  2 Pm 2.98, 1 La 3.03

Values from the calculation:
* E_form (uncorrected): -1.783 eV/atom
* space-group type: No. 12
* crystal system: monoclinic
* total moment: 0.000 μB/f.u.

=====

- The highest total moment belongs to which entry?
  Ce2SbP3Ir4

=====

- Among the records above, which one has the highest total moment?
  Ce2SbP3Ir4

=====

- Which formula does entry 7 have?
  K2ZnSn3Pt4